CsAgRh3: relaxed, PBE.

Its symmetry is Pm-3m. The energy above the most stable polymorph in this dataset is 0 meV per atom. For the energy relative to the elements, the calculation gives 1.44 eV/atom.

Structure (POSCAR):
```
CsAgRh3
1.0
-2.750 3.507 2.376
-2.057 -3.582 2.906
3.703 0.615 3.379
Rh Ag Cs
3 1 1
direct
0.000 0.000 0.500 Rh
0.500 0.000 0.000 Rh
0.000 0.500 0.000 Rh
0.000 0.000 0.000 Ag
0.500 0.500 0.500 Cs
```